RbZnTc2Br: PBEsol geometry, SCAN.

## Properties
As for the raw total energy: -22.1421 eV per atom. The space-group type is P4/mmm. The raw formation energy comes out at 2.625 eV/atom. The volume comes out at 27.32 A^3/atom. The density of states at the Fermi level is 4.0 states/eV/f.u.

a = 4.966 Å, b = 4.966 Å, c = 5.538 Å
α = 90.00°, β = 90.00°, γ = 90.00°
Element x y z (fractional)
Rb 0.000 0.000 0.000
Zn 0.000 0.000 0.500
Tc 0.000 0.500 0.000
Tc 0.500 0.000 0.000
Br 0.500 0.500 0.500



RbTe3Br: PBEsol geometry, SCAN.

## Properties
As for the raw total energy: -29.5481 eV per atom. The space-group type is Pm-3m. The raw formation energy comes out at 0.842 eV/atom. The volume comes out at 59.81 A^3/atom. The density of states at the Fermi level is 8.6 states/eV/f.u.

a = 6.687 Å, b = 6.687 Å, c = 6.687 Å
α = 90.00°, β = 90.00°, γ = 90.00°
Element x y z (fractional)
Rb 0.000 0.000 0.000
Te 0.000 0.000 0.500
Te 0.000 0.500 0.000
Te 0.500 0.000 0.000
Br 0.500 0.500 0.500